Record 1
# GGA-PBE NaMo2Rh, relaxed
# V = 15.842 A^3/atom
# Fermi-level density of states = 6.226 states/eV/cell
# formation energy from the elements = 923 meV per atom
# mass density = 8.3 g/cm³
# relative energy among the computed polymorphs = 0 meV per atom
data_NaMo2Rh
_space_group_name_H-M_alt 'P 1'
_space_group_IT_number 1
_cell_length_a 4.4750
_cell_length_b 4.4750
_cell_length_c 4.4750
_cell_angle_alpha 60.00
_cell_angle_beta 60.00
_cell_angle_gamma 60.00
loop_
_space_group_symop_operation_xyz
'x,y,z'
loop_
_atom_site_label
_atom_site_type_symbol
_atom_site_fract_x
_atom_site_fract_y
_atom_site_fract_z
Na1 Na 0.0000 0.0000 0.0000
Mo1 Mo 0.2500 0.2500 0.2500
Mo2 Mo 0.7500 0.7500 0.7500
Rh1 Rh 0.5000 0.5000 0.5000

***

Record 2
# GGA-PBE BRh3Pb, relaxed
# V = 15.232 A^3/atom
# Fermi-level density of states = 12.679 states/eV/cell
# formation energy from the elements = -31 meV per atom
# mass density = 11.5 g/cm³
# relative energy among the computed polymorphs = 192 meV per atom
data_BRh3Pb
_space_group_name_H-M_alt 'P 1'
_space_group_IT_number 1
_cell_length_a 8.1613
_cell_length_b 8.1613
_cell_length_c 5.6356
_cell_angle_alpha 90.00
_cell_angle_beta 90.00
_cell_angle_gamma 156.06
loop_
_space_group_symop_operation_xyz
'x,y,z'
loop_
_atom_site_label
_atom_site_type_symbol
_atom_site_fract_x
_atom_site_fract_y
_atom_site_fract_z
B1 B 0.1101 0.8899 0.7500
B2 B 0.8899 0.1101 0.2500
Rh1 Rh 0.0134 0.9866 0.2500
Rh2 Rh 0.3842 0.6158 0.0121
Rh3 Rh 0.3842 0.6158 0.4879
Rh4 Rh 0.6158 0.3842 0.5121
Rh5 Rh 0.6158 0.3842 0.9879
Rh6 Rh 0.9866 0.0134 0.7500
Pb1 Pb 0.2228 0.7772 0.2500
Pb2 Pb 0.7772 0.2228 0.7500

***

Record 3
# GGA-PBE Pm8Ir5O, relaxed
# calculated total energy = -99.468 eV for the cell shown
# V = 23.875 A^3/atom
# Fermi-level density of states = 7.749 states/eV/cell
# mass density = 10.6 g/cm³
data_Pm8Ir5O
_space_group_name_H-M_alt 'P 1'
_space_group_IT_number 1
_cell_length_a 7.5806
_cell_length_b 7.5806
_cell_length_c 7.5806
_cell_angle_alpha 111.39
_cell_angle_beta 111.39
_cell_angle_gamma 105.69
loop_
_space_group_symop_operation_xyz
'x,y,z'
loop_
_atom_site_label
_atom_site_type_symbol
_atom_site_fract_x
_atom_site_fract_y
_atom_site_fract_z
Pm1 Pm 0.0334 0.9049 0.2558
Pm2 Pm 0.0951 0.3509 0.1285
Pm3 Pm 0.1708 0.4059 0.6628
Pm4 Pm 0.2225 0.9666 0.8715
Pm5 Pm 0.4920 0.8292 0.2351
Pm6 Pm 0.5941 0.2569 0.7649
Pm7 Pm 0.6491 0.7775 0.7442
Pm8 Pm 0.7431 0.5080 0.3372
Ir1 Ir 0.2500 0.7500 0.5000
Ir2 Ir 0.4088 0.2577 0.3739
Ir3 Ir 0.7423 0.1161 0.1511
Ir4 Ir 0.8839 0.0350 0.6261
Ir5 Ir 0.9650 0.5912 0.8489
O1 O 0.5000 0.5000 0.0000